1.
The following is a DFT calculation (PBE-GGA) of a geometry-optimized Pa2BiPb structure.

Output
energy above the lowest structure with this stoichiometry = 43.2 meV per atom
space group = Fm-3m (225)
density = 13.15 g/cm³
E_form = 0.073 eV/atom

Cell: 5.3931 5.3931 5.3931 Å, 60.00 60.00 60.00°
Site moments in Bohr magnetons follow the coordinates.
Atoms (fractional coordinates):
Pb: 0.5000 0.5000 0.5000  -0.02
Bi: 0.0000 0.0000 0.0000  -0.04
Pa: 0.7500 0.7500 0.7500  0.74
Pa: 0.2500 0.2500 0.2500  0.74



2.
The following is a DFT calculation (PBE-GGA) of a geometry-optimized Pa2Bi4Pb structure.

Output
space group = Cmmm (65)
density = 11.62 g/cm³
E_form = -0.102 eV/atom

Cell: 4.8866 6.7073 6.7073 Å, 101.94 90.00 90.00°
Atoms (fractional coordinates):
Bi: 0.0000 0.7965 0.7965
Bi: 0.0000 0.2035 0.2035
Bi: 0.5000 0.0000 0.5000
Bi: 0.5000 0.5000 0.0000
Pb: 0.5000 0.5000 0.5000
Pa: 0.0000 0.7172 0.2828
Pa: 0.0000 0.2828 0.7172



3.
The following is a DFT calculation (PBE-GGA) of a geometry-optimized PaBi5Pb2 structure.

Output
space group = I4/mmm (139)
density = 11.48 g/cm³
E_form = -0.023 eV/atom

Cell: 6.8754 6.8754 6.8754 Å, 104.75 104.75 119.39°
Site moments in Bohr magnetons follow the coordinates.
Atoms (fractional coordinates):
Pb: 0.2776 0.7779 0.5000  0.00
Pb: 0.7777 0.2780 0.5000  0.00
Pa: 0.7781 0.7779 0.0000  0.23
Bi: 0.7779 0.2779 0.0000  -0.01
Bi: 0.7777 0.7779 0.4998  -0.01
Bi: 0.2780 0.2781 0.5002  -0.01
Bi: 0.2778 0.2775 0.0000  -0.01
Bi: 0.2781 0.7777 0.0000  -0.01



4.
The following is a DFT calculation (PBE-GGA) of a geometry-optimized PaBiPb2 structure.

Output
energy above the lowest structure with this stoichiometry = 157.5 meV per atom
space group = P4/mmm (123)
density = 12.13 g/cm³
E_form = 0.108 eV/atom

Cell: 4.2438 4.2438 6.4925 Å, 90.00 90.00 90.00°
Site moments in Bohr magnetons follow the coordinates.
Atoms (fractional coordinates):
Pa: 0.5000 0.5000 0.5000  0.63
Pb: 0.0000 0.0000 0.2580  0.01
Pb: 0.0000 0.0000 0.7420  0.01
Bi: 0.5000 0.5000 0.0000  -0.02



5.
The following is a DFT calculation (PBE-GGA) of a geometry-optimized PaBiPb2 structure.

Output
energy above the lowest structure with this stoichiometry = 431.5 meV per atom
space group = R-3m (166)
density = 11.56 g/cm³
E_form = 0.382 eV/atom

Cell: 3.3460 3.3460 12.8047 Å, 82.49 82.49 60.00°
Site moments in Bohr magnetons follow the coordinates.
Atoms (fractional coordinates):
Bi: 0.5000 0.5000 0.5000  0.00
Pb: 0.0866 0.0866 0.7401  0.00
Pb: 0.9134 0.9134 0.2599  0.00
Pa: 0.0000 0.0000 0.0000  0.31



6.
The following is a DFT calculation (PBE-GGA) of a geometry-optimized PmPaBiPb structure.

Output
space group = F-43m (216)
density = 11.26 g/cm³
E_form = -0.198 eV/atom

Cell: 5.4872 5.4872 5.4872 Å, 60.00 60.00 60.00°
Site moments in Bohr magnetons follow the coordinates.
Atoms (fractional coordinates):
Bi: 0.0000 0.0000 0.0000  -0.01
Pa: 0.2500 0.2500 0.2500  1.07
Pb: 0.5000 0.5000 0.5000  -0.01
Pm: 0.7500 0.7500 0.7500  0.26



7.
The following is a DFT calculation (PBE-GGA) of a geometry-optimized PrPaBiPb structure.

Output
space group = F-43m (216)
density = 10.99 g/cm³
E_form = -0.197 eV/atom

Cell: 5.5224 5.5224 5.5224 Å, 60.00 60.00 60.00°
Site moments in Bohr magnetons follow the coordinates.
Atoms (fractional coordinates):
Pb: 0.2500 0.2500 0.2500  -0.01
Bi: 0.7500 0.7500 0.7500  -0.01
Pr: 0.5000 0.5000 0.5000  0.24
Pa: 0.0000 0.0000 0.0000  1.11



8.
The following is a DFT calculation (PBE-GGA) of a geometry-optimized SmPaBiPb structure.

Output
space group = F-43m (216)
density = 11.41 g/cm³
E_form = -0.193 eV/atom

Cell: 5.4759 5.4759 5.4759 Å, 60.00 60.00 60.00°
Site moments in Bohr magnetons follow the coordinates.
Atoms (fractional coordinates):
Pb: 0.7500 0.7500 0.7500  -0.01
Pa: 0.5000 0.5000 0.5000  1.06
Sm: 0.0000 0.0000 0.0000  0.26
Bi: 0.2500 0.2500 0.2500  -0.01



9.
The following is a DFT calculation (PBE-GGA) of a geometry-optimized Sr2PaBi4Pb structure.

Output
space group = P2/m (10)
density = 8.10 g/cm³
E_form = -0.398 eV/atom

Cell: 4.6547 8.1561 8.2879 Å, 109.22 90.00 90.00°
Atoms (fractional coordinates):
Bi: 0.0000 0.7613 0.2291
Bi: 0.0000 0.2387 0.7709
Bi: 0.5000 0.7735 0.7764
Bi: 0.5000 0.2265 0.2236
Sr: 0.0000 0.5000 0.5000
Sr: 0.5000 0.0000 0.5000
Pa: 0.0000 0.0000 0.0000
Pb: 0.5000 0.5000 0.0000



10.
The following is a DFT calculation (PBE-GGA) of a geometry-optimized ThPaBiPb structure.

Output
space group = F-43m (216)
density = 12.50 g/cm³
E_form = -0.122 eV/atom

Cell: 5.4868 5.4868 5.4868 Å, 60.00 60.00 60.00°
Site moments in Bohr magnetons follow the coordinates.
Atoms (fractional coordinates):
Pb: 0.7500 0.7500 0.7500  0.00
Bi: 0.2500 0.2500 0.2500  -0.01
Th: 0.5000 0.5000 0.5000  0.18
Pa: 0.0000 0.0000 0.0000  0.84



11.
The following is a DFT calculation (PBE-GGA) of a geometry-optimized PaBi3Pd structure.

Output
space group = Amm2 (38)
density = 11.37 g/cm³
E_form = -0.154 eV/atom

Cell: 4.9322 4.4511 6.7929 Å, 109.12 90.00 90.00°
Site moments in Bohr magnetons follow the coordinates.
Atoms (fractional coordinates):
Pa: 0.5000 0.0498 0.0995  0.69
Pd: 0.5000 0.4031 0.8063  0.00
Bi: 0.0000 0.5158 0.0316  -0.01
Bi: 0.5000 0.7482 0.4965  -0.02
Bi: 0.0000 0.2432 0.4863  0.03



12.
The following is a DFT calculation (PBE-GGA) of a geometry-optimized PaBiPd structure.

Output
space group = I4mm (107)
density = 12.48 g/cm³
E_form = -0.282 eV/atom

Cell: 3.5555 3.5555 6.2787 Å, 106.45 106.45 90.00°
Site moments in Bohr magnetons follow the coordinates.
Atoms (fractional coordinates):
Pd: 0.6554 0.6554 0.3107  -0.02
Pa: 0.0245 0.0245 0.0490  0.62
Bi: 0.3201 0.3201 0.6403  -0.01